1.
The following is a DFT calculation (GGA-PBE) of crystalline RbU4Cu3Te12 at its relaxed geometry.

Properties
SG   No. 204
ΔE_f (raw)   -0.33 eV/atom

a b c (Å): 9.5223 9.5223 9.5223
angles (deg): 109.47 109.47 109.47
Last column: nearest neighbours and their distance in Å.
Fractional coordinates of all 20 atoms:
Rb (0.0000, 0.0000, 0.0000)  12 Te 4.00
U (0.5000, 0.0000, 0.0000)  6 Te 3.00
U (0.5000, 0.5000, 0.5000)  6 Te 3.00
U (0.0000, 0.5000, 0.0000)  6 Te 3.00
U (0.0000, 0.0000, 0.5000)  6 Te 3.00
Cu (0.0000, 0.5000, 0.5000)  4 Te 2.69
Cu (0.5000, 0.5000, 0.0000)  4 Te 2.69
Cu (0.5000, 0.0000, 0.5000)  4 Te 2.69
Te (0.3226, 0.8310, 0.1536)  1 Cu 2.69, 2 U 3.00
Te (0.6774, 0.1690, 0.8464)  1 Cu 2.69, 2 U 3.00
Te (0.6774, 0.8310, 0.5084)  1 Cu 2.69, 2 U 3.00
Te (0.8464, 0.6774, 0.1690)  1 Cu 2.69, 2 U 3.00
Te (0.8310, 0.1536, 0.3226)  1 Cu 2.69, 2 U 3.00
Te (0.1690, 0.4916, 0.3226)  1 Cu 2.69, 2 U 3.00
Te (0.4916, 0.3226, 0.1690)  1 Cu 2.69, 2 U 3.00
Te (0.1690, 0.8464, 0.6774)  1 Cu 2.69, 2 U 3.00
Te (0.3226, 0.1690, 0.4916)  1 Cu 2.69, 2 U 3.00
Te (0.1536, 0.3226, 0.8310)  1 Cu 2.69, 2 U 3.00
Te (0.8310, 0.5084, 0.6774)  1 Cu 2.69, 2 U 3.00
Te (0.5084, 0.6774, 0.8310)  1 Cu 2.69, 2 U 3.00


2.
The following is a DFT calculation (GGA-PBE) of crystalline Rb3U2CuTe6 at its relaxed geometry.

Properties
SG   No. 12
ΔE_f (raw)   -0.69 eV/atom

a b c (Å): 7.7507 7.7507 8.8766
angles (deg): 98.41 98.41 119.88
Last column: nearest neighbours and their distance in Å.
Fractional coordinates of all 12 atoms:
Rb (0.1675, 0.8325, 0.5000)  6 Te 3.66-3.72
Rb (0.8325, 0.1675, 0.5000)  6 Te 3.66-3.72
Rb (0.5000, 0.5000, 0.5000)  6 Te 3.66-3.71
U (0.3334, 0.6666, 0.0000)  6 Te 3.08
U (0.6666, 0.3334, 0.0000)  6 Te 3.08
Cu (0.0000, 0.0000, 0.0000)  6 Te 3.00-3.02
Te (0.9360, 0.6105, 0.8089)  1 Cu 3.00, 2 U 3.08
Te (0.7367, 0.7367, 0.1927)  1 Cu 3.02, 2 U 3.08
Te (0.0640, 0.3895, 0.1911)  1 Cu 3.00, 2 U 3.08
Te (0.6105, 0.9360, 0.8089)  1 Cu 3.00, 2 U 3.08
Te (0.2633, 0.2633, 0.8073)  1 Cu 3.02, 2 U 3.08
Te (0.3895, 0.0640, 0.1911)  1 Cu 3.00, 2 U 3.08


3.
The following is a DFT calculation (GGA-PBE) of crystalline RbU2CuTe4 at its relaxed geometry.

Properties
SG   No. 63
ΔE_f (raw)   -0.62 eV/atom

a b c (Å): 4.3988 8.0538 15.4824
angles (deg): 90.00 90.00 105.85
Last column: nearest neighbours and their distance in Å.
Fractional coordinates of all 16 atoms:
Rb (0.1080, 0.2160, 0.7500)  6 Te 3.53-3.62
Rb (0.8920, 0.7840, 0.2500)  6 Te 3.53-3.62
U (0.3660, 0.7319, 0.5604)  6 Te 3.10-3.17
U (0.6340, 0.2681, 0.0604)  6 Te 3.10-3.17
U (0.6340, 0.2681, 0.4396)  6 Te 3.10-3.17
U (0.3660, 0.7319, 0.9396)  6 Te 3.10-3.17
Cu (0.8379, 0.6758, 0.7500)  4 Te 2.62-2.65
Cu (0.1621, 0.3242, 0.2500)  4 Te 2.62-2.65
Te (0.2657, 0.5315, 0.1138)  1 Cu 2.65
Te (0.7343, 0.4685, 0.6138)  1 Cu 2.65
Te (0.7343, 0.4685, 0.8862)  1 Cu 2.65
Te (0.2657, 0.5315, 0.3862)  1 Cu 2.65
Te (0.0000, 0.0000, 0.5000)  4 U 3.17
Te (0.0000, 0.0000, 0.0000)  4 U 3.17
Te (0.4294, 0.8588, 0.7500)  2 Cu 2.62
Te (0.5706, 0.1412, 0.2500)  2 Cu 2.62